DFT (PBE-GGA) results for a geometry-optimized TaAlCd2 structure. Values from VASP.

Summary:
Formation energy ... 0.6 eV per formula unit
Space-group type ... Amm2 (38)

```
&SYSTEM
  ibrav = 0, nat = 4, ntyp = 3
/
ATOMIC_SPECIES
Ta 180.95 Ta.upf
Al 26.98 Al.upf
Cd 112.41 Cd.upf
ATOMIC_POSITIONS angstrom
Ta 0.0000 0.0000 0.0000
Al 2.1987 0.0000 6.9409
Cd 0.0000 0.0000 8.7571
Cd 2.1987 0.0000 4.2182
CELL_PARAMETERS angstrom
4.3973 0.0000 0.0000
0.0000 1.4654 5.9586
0.0000 -1.4654 5.9586
```

***

DFT (PBE-GGA) results for a geometry-optimized Ta5Ru6Pt structure. Values from VASP.

Summary:
Formation energy ... -4.7 eV per formula unit
Space-group type ... Immm (71)

```
&SYSTEM
  ibrav = 0, nat = 12, ntyp = 3
/
ATOMIC_SPECIES
Ta 180.95 Ta.upf
Ru 101.07 Ru.upf
Pt 195.08 Pt.upf
ATOMIC_POSITIONS angstrom
Ta 0.0000 0.0000 0.0000
Ta 2.1536 0.0000 2.3100
Ta 0.0000 0.0000 4.5774
Ta 0.0000 0.0000 8.2492
Ta 0.0000 3.4429 4.1033
Ru 2.1536 -1.8522 4.2378
Ru 2.1536 1.5079 0.0000
Ru 0.0000 1.5907 2.1756
Ru 2.1536 1.8522 4.2378
Ru 0.0000 1.9350 6.4133
Ru 0.0000 5.2951 2.1756
Pt 0.0000 3.4429 0.0000
CELL_PARAMETERS angstrom
-2.1536 3.4429 6.4133
2.1536 -3.4429 6.4133
2.1536 3.4429 -6.4133
```

***

DFT (PBE-GGA) results for a geometry-optimized SrAg3Te structure. Values from VASP.

Summary:
Space-group type ... Pm-3m (221)
Total energy ... -2.52 eV per atom

```
&SYSTEM
  ibrav = 0, nat = 5, ntyp = 3
/
ATOMIC_SPECIES
Sr 87.62 Sr.upf
Ag 107.87 Ag.upf
Te 127.60 Te.upf
ATOMIC_POSITIONS angstrom
Sr 0.0000 0.0000 0.0000
Ag 0.0000 2.7156 2.7156
Ag 2.7156 0.0000 2.7156
Ag 2.7156 2.7156 0.0000
Te 2.7156 2.7156 2.7156
CELL_PARAMETERS angstrom
5.4311 0.0000 0.0000
0.0000 5.4311 0.0000
0.0000 0.0000 5.4311
```

***

DFT (PBE-GGA) results for a geometry-optimized NaAgSb2I structure. Values from VASP.

Summary:
Space-group type ... P4/mmm (123)
Total energy ... -2.06 eV per atom

```
&SYSTEM
  ibrav = 0, nat = 5, ntyp = 4
/
ATOMIC_SPECIES
Na 22.99 Na.upf
Ag 107.87 Ag.upf
Sb 121.76 Sb.upf
I 126.90 I.upf
ATOMIC_POSITIONS angstrom
Na 0.0000 0.0000 0.0000
Ag 2.7381 2.7381 2.8930
Sb 0.0000 2.7381 0.0000
Sb 2.7381 0.0000 0.0000
I 0.0000 0.0000 2.8930
CELL_PARAMETERS angstrom
5.4761 0.0000 0.0000
0.0000 5.4761 0.0000
0.0000 0.0000 5.7861
```

***

DFT (PBE-GGA) results for a geometry-optimized Ag2MoRu2 structure. Values from VASP.

Summary:
Formation energy ... 4.5 eV per formula unit
Space-group type ... I4/mmm (139)

```
&SYSTEM
  ibrav = 0, nat = 5, ntyp = 3
/
ATOMIC_SPECIES
Ag 107.87 Ag.upf
Mo 95.94 Mo.upf
Ru 101.07 Ru.upf
ATOMIC_POSITIONS angstrom
Ag 1.7654 0.0000 3.4619
Ag 0.0000 1.7654 3.4619
Mo 0.0000 0.0000 0.0000
Ru 0.0000 0.0000 5.6838
Ru 0.0000 0.0000 8.1639
CELL_PARAMETERS angstrom
-1.7654 1.7654 6.9238
1.7654 -1.7654 6.9238
1.7654 1.7654 -6.9238
```

***

DFT (PBE-GGA) results for a geometry-optimized TbLu2Te structure. Values from VASP.

Summary:
Space-group type ... P4/mmm (123)
Total energy ... -4.71 eV per atom

```
&SYSTEM
  ibrav = 0, nat = 4, ntyp = 3
/
ATOMIC_SPECIES
Tb 158.93 Tb.upf
Lu 174.97 Lu.upf
Te 127.60 Te.upf
ATOMIC_POSITIONS angstrom
Tb 0.0000 0.0000 0.0000
Lu 1.8995 1.8995 2.1541
Lu 1.8995 1.8995 5.7033
Te 0.0000 0.0000 3.9287
CELL_PARAMETERS angstrom
3.7991 0.0000 0.0000
0.0000 3.7991 0.0000
0.0000 0.0000 7.8574
```

***

| no. | spin magnetization (μB/f.u.) | Fermi-level density of states (states/eV/f.u.) |
| --- | --- | --- |
| 1 | 0.00 | 2.20 |
| 2 | 0.00 | 6.36 |
| 3 | 0.00 | 3.84 |
| 4 | 0.00 | 5.29 |
| 5 | 0.09 | 4.58 |
| 6 | 0.00 | 4.76 |